This record from the Alexandria database describes a relaxed structure of LiCoPdF6. The functional is GGA+U.

a = 4.6906 Å, b = 4.6906 Å, c = 9.7327 Å
α = 90.00°, β = 90.00°, γ = 90.00°
Fractional positions:
1 Li 0.0000 0.0000 0.0000
2 Li 0.5000 0.5000 0.5000
3 Co 0.0000 0.0000 0.6608
4 Co 0.5000 0.5000 0.1608
5 Pd 0.0000 0.0000 0.3289
6 Pd 0.5000 0.5000 0.8289
7 F 0.1985 0.1985 0.4998
8 F 0.2014 0.2014 0.1587
9 F 0.2007 0.2007 0.8280
10 F 0.2993 0.7007 0.3280
11 F 0.2986 0.7014 0.6587
12 F 0.3015 0.6985 0.9998
13 F 0.6985 0.3015 0.9998
14 F 0.7007 0.2993 0.3280
15 F 0.7014 0.2986 0.6587
16 F 0.7986 0.7986 0.1587
17 F 0.7993 0.7993 0.8280
18 F 0.8015 0.8015 0.4998

Calculated values
For the total magnetization, the calculation gives 4.00 μB per formula unit. The total energy comes out at -0.16640 hartree per atom. As for the space group: P4_2nm.